Record 1
Compound: Rb4Pa3WN8
Source: Alexandria
Functional: PBE-GGA
Structure: relaxed

Values from the calculation:
Its electronic total energy is -7.848 eV/atom. Its density of states at the Fermi level is 3.03 states/eV/f.u.

Structure (CIF):
```
data_Rb4Pa3WN8
_chemical_formula_sum 'Rb4 Pa3 W1 N8'
_space_group_name_H-M_alt 'P 1'
_space_group_IT_number 1
_cell_length_a 6.9984
_cell_length_b 7.8374
_cell_length_c 6.9986
_cell_angle_alpha 116.53
_cell_angle_beta 120.00
_cell_angle_gamma 90.00
loop_
_space_group_symop_operation_xyz
'x,y,z'
loop_
_atom_site_label
_atom_site_type_symbol
_atom_site_fract_x
_atom_site_fract_y
_atom_site_fract_z
_atom_site_occupancy
N1 N 0.7191 0.6571 0.4381 1
W1 W 0.0000 0.5000 0.0000 1
Rb1 Rb 0.0000 0.0000 0.5000 1
Pa1 Pa 0.5000 0.5000 0.5000 1
N2 N 0.7381 0.6536 0.9459 1
N3 N 0.7922 0.3464 0.5845 1
Pa2 Pa 0.0000 0.5000 0.5000 1
N4 N 0.2809 0.3429 0.5619 1
N5 N 0.7922 0.3464 0.0541 1
N6 N 0.2619 0.3464 0.0541 1
Rb2 Rb 0.0000 0.0000 0.0000 1
Pa3 Pa 0.5000 0.5000 0.0000 1
N7 N 0.2078 0.6536 0.4155 1
N8 N 0.2078 0.6536 0.9459 1
Rb3 Rb 0.5000 0.0000 0.0000 1
Rb4 Rb 0.5000 0.0000 0.5000 1
```

Record 2
Compound: Tb4CuPd12
Source: Alexandria
Functional: PBE-GGA
Structure: relaxed

Values from the calculation:
Its density of states at the Fermi level is 1.87 states/eV/f.u. The energy of formation from the pure elements is -795 meV per atom.

Structure (CIF):
```
data_Tb4CuPd12
_chemical_formula_sum 'Tb4 Cu1 Pd12'
_space_group_name_H-M_alt 'P 1'
_space_group_IT_number 1
_cell_length_a 7.3301
_cell_length_b 7.3301
_cell_length_c 7.3301
_cell_angle_alpha 109.47
_cell_angle_beta 109.47
_cell_angle_gamma 109.47
loop_
_space_group_symop_operation_xyz
'x,y,z'
loop_
_atom_site_label
_atom_site_type_symbol
_atom_site_fract_x
_atom_site_fract_y
_atom_site_fract_z
_atom_site_occupancy
Pd1 Pd 0.0000 0.7120 0.7120 1
Pd2 Pd 0.7500 0.2500 0.5000 1
Cu1 Cu 0.0000 0.0000 0.0000 1
Pd3 Pd 0.7500 0.5000 0.2500 1
Tb1 Tb 0.0000 0.5000 0.0000 1
Tb2 Tb 0.5000 0.5000 0.5000 1
Tb3 Tb 0.0000 0.0000 0.5000 1
Pd4 Pd 0.7120 0.0000 0.7120 1
Pd5 Pd 0.2880 0.0000 0.2880 1
Pd6 Pd 0.7120 0.7120 0.0000 1
Pd7 Pd 0.2880 0.2880 0.0000 1
Pd8 Pd 0.2500 0.7500 0.5000 1
Pd9 Pd 0.0000 0.2880 0.2880 1
Pd10 Pd 0.2500 0.5000 0.7500 1
Pd11 Pd 0.5000 0.2500 0.7500 1
Pd12 Pd 0.5000 0.7500 0.2500 1
Tb4 Tb 0.5000 0.0000 0.0000 1
```

Record 3
Compound: AlAg2C
Source: Alexandria
Functional: PBE-GGA
Structure: relaxed

Values from the calculation:
Its density of states at the Fermi level is 4.14 states/eV/f.u. The energy of formation from the pure elements is 1224 meV per atom. The calculation puts the energy above the most stable polymorph in this dataset at 19.0 meV/atom.

Structure (CIF):
```
data_AlAg2C
_chemical_formula_sum 'Al1 Ag2 C1'
_space_group_name_H-M_alt 'P 1'
_space_group_IT_number 1
_cell_length_a 4.3787
_cell_length_b 4.3787
_cell_length_c 4.3787
_cell_angle_alpha 60.00
_cell_angle_beta 60.00
_cell_angle_gamma 60.00
loop_
_space_group_symop_operation_xyz
'x,y,z'
loop_
_atom_site_label
_atom_site_type_symbol
_atom_site_fract_x
_atom_site_fract_y
_atom_site_fract_z
_atom_site_occupancy
Ag1 Ag 0.7500 0.7500 0.7500 1
Ag2 Ag 0.2500 0.2500 0.2500 1
C1 C 0.0000 0.0000 0.0000 1
Al1 Al 0.5000 0.5000 0.5000 1
```

Record 4
Compound: RbCe2ZnS5
Source: Alexandria
Functional: PBE-GGA
Structure: relaxed

Values from the calculation:
Its electronic total energy is -5.404 eV/atom. Its density of states at the Fermi level is 7.57 states/eV/f.u.

Structure (CIF):
```
data_RbCe2ZnS5
_chemical_formula_sum 'Rb2 Ce4 Zn2 S10'
_space_group_name_H-M_alt 'P 1'
_space_group_IT_number 1
_cell_length_a 7.8628
_cell_length_b 7.8628
_cell_length_c 8.8814
_cell_angle_alpha 116.27
_cell_angle_beta 116.27
_cell_angle_gamma 90.00
loop_
_space_group_symop_operation_xyz
'x,y,z'
loop_
_atom_site_label
_atom_site_type_symbol
_atom_site_fract_x
_atom_site_fract_y
_atom_site_fract_z
_atom_site_occupancy
S1 S 0.7301 0.2301 0.7466 1
S2 S 0.5165 0.7301 0.7466 1
Ce1 Ce 0.6648 0.1648 0.0000 1
Ce2 Ce 0.1648 0.3352 0.0000 1
S3 S 0.7699 0.9835 0.2534 1
Ce3 Ce 0.8352 0.6648 0.0000 1
S4 S 0.9835 0.4835 0.2534 1
Zn1 Zn 0.7500 0.2500 0.5000 1
S5 S 0.4835 0.2699 0.2534 1
S6 S 0.5000 0.5000 0.0000 1
Zn2 Zn 0.2500 0.7500 0.5000 1
Ce4 Ce 0.3352 0.8352 0.0000 1
S7 S 0.2699 0.7699 0.2534 1
Rb1 Rb 0.2500 0.2500 0.5000 1
Rb2 Rb 0.7500 0.7500 0.5000 1
S8 S 0.0000 0.0000 0.0000 1
S9 S 0.2301 0.0165 0.7466 1
S10 S 0.0165 0.5165 0.7466 1
```

Record 5
Compound: Ba2NpRuS6
Source: Alexandria
Functional: PBE-GGA
Structure: relaxed

Values from the calculation:
Its electronic total energy is -6.414 eV/atom. Its density of states at the Fermi level is 3.09 states/eV/f.u.

Structure (CIF):
```
data_Ba2NpRuS6
_chemical_formula_sum 'Ba2 Np1 Ru1 S6'
_space_group_name_H-M_alt 'P 1'
_space_group_IT_number 1
_cell_length_a 6.9526
_cell_length_b 6.9526
_cell_length_c 6.9539
_cell_angle_alpha 120.00
_cell_angle_beta 120.00
_cell_angle_gamma 89.99
loop_
_space_group_symop_operation_xyz
'x,y,z'
loop_
_atom_site_label
_atom_site_type_symbol
_atom_site_fract_x
_atom_site_fract_y
_atom_site_fract_z
_atom_site_occupancy
Ba1 Ba 0.7499 0.2505 0.4999 1
Np1 Np 0.4999 0.5004 0.9998 1
S1 S 0.7584 0.7590 0.9998 1
S2 S 0.7585 0.7589 0.5169 1
S3 S 0.7584 0.2419 0.9997 1
S4 S 0.2414 0.2417 0.9997 1
S5 S 0.2413 0.2418 0.4827 1
Ba2 Ba 0.2500 0.7504 0.4999 1
Ru1 Ru 0.9999 0.0004 0.9998 1
S6 S 0.2413 0.7589 0.9998 1
```

Record 6
Compound: TaSiHg2
Source: Alexandria
Functional: PBE-GGA
Structure: relaxed

Values from the calculation:
Its electronic total energy is -4.027 eV/atom. Its density of states at the Fermi level is 2.01 states/eV/f.u.

Structure (CIF):
```
data_TaSiHg2
_chemical_formula_sum 'Ta1 Si1 Hg2'
_space_group_name_H-M_alt 'P 1'
_space_group_IT_number 1
_cell_length_a 2.9711
_cell_length_b 4.8458
_cell_length_c 5.3704
_cell_angle_alpha 90.00
_cell_angle_beta 90.00
_cell_angle_gamma 90.00
loop_
_space_group_symop_operation_xyz
'x,y,z'
loop_
_atom_site_label
_atom_site_type_symbol
_atom_site_fract_x
_atom_site_fract_y
_atom_site_fract_z
_atom_site_occupancy
Hg1 Hg 0.5000 0.5000 0.0000 1
Ta1 Ta 0.0000 0.5000 0.5000 1
Si1 Si 0.5000 0.0000 0.5000 1
Hg2 Hg 0.0000 0.0000 0.0000 1
```

Record 7
Compound: Eu2GeS4
Source: Alexandria
Functional: PBE-GGA
Structure: relaxed

Values from the calculation:
Its electronic total energy is -7.322 eV/atom. Its density of states at the Fermi level is 4.73 states/eV/f.u.

Structure (CIF):
```
data_Eu2GeS4
_chemical_formula_sum 'Eu4 Ge2 S8'
_space_group_name_H-M_alt 'P 1'
_space_group_IT_number 1
_cell_length_a 6.8488
_cell_length_b 6.6822
_cell_length_c 8.0216
_cell_angle_alpha 72.18
_cell_angle_beta 90.00
_cell_angle_gamma 90.00
loop_
_space_group_symop_operation_xyz
'x,y,z'
loop_
_atom_site_label
_atom_site_type_symbol
_atom_site_fract_x
_atom_site_fract_y
_atom_site_fract_z
_atom_site_occupancy
Eu1 Eu 0.2222 0.7577 0.4355 1
S1 S 0.4994 0.5109 0.7370 1
S2 S 0.8065 0.9346 0.3740 1
S3 S 0.3065 0.0654 0.6260 1
S4 S 0.0001 0.4681 0.7503 1
S5 S 0.5001 0.5319 0.2497 1
Eu2 Eu 0.7222 0.2423 0.5645 1
S6 S 0.8211 0.9217 0.9146 1
Ge1 Ge 0.7663 0.7382 0.1945 1
Ge2 Ge 0.2663 0.2618 0.8055 1
S7 S 0.9994 0.4891 0.2630 1
S8 S 0.3211 0.0783 0.0854 1
Eu3 Eu 0.2350 0.7162 0.9482 1
Eu4 Eu 0.7350 0.2838 0.0518 1
```

Record 8
Compound: NaLi6Ag2
Source: Alexandria
Functional: PBE-GGA
Structure: relaxed

Values from the calculation:
Its density of states at the Fermi level is 1.78 states/eV/f.u. The energy of formation from the pure elements is -30 meV per atom. The calculation puts the energy above the most stable polymorph in this dataset at 24.9 meV/atom.

Structure (CIF):
```
data_NaLi6Ag2
_chemical_formula_sum 'Na1 Li6 Ag2'
_space_group_name_H-M_alt 'P 1'
_space_group_IT_number 1
_cell_length_a 4.5113
_cell_length_b 4.5113
_cell_length_c 9.2409
_cell_angle_alpha 90.00
_cell_angle_beta 90.00
_cell_angle_gamma 90.00
loop_
_space_group_symop_operation_xyz
'x,y,z'
loop_
_atom_site_label
_atom_site_type_symbol
_atom_site_fract_x
_atom_site_fract_y
_atom_site_fract_z
_atom_site_occupancy
Li1 Li 0.0000 0.5000 0.2955 1
Li2 Li 0.5000 0.0000 0.2955 1
Li3 Li 0.5000 0.5000 0.5000 1
Ag1 Ag 0.5000 0.5000 0.8526 1
Li4 Li 0.0000 0.0000 0.5000 1
Li5 Li 0.5000 0.0000 0.7045 1
Na1 Na 0.0000 0.0000 0.0000 1
Ag2 Ag 0.5000 0.5000 0.1474 1
Li6 Li 0.0000 0.5000 0.7045 1
```